VASP calculation (PBE) on a geometry-optimized ZrHSeCl structure.

Uncorrected energy   -5.563 eV per atom
Crystal system   trigonal
SG   R3m
DOS at the Fermi energy   0.000 states/eV per atom
Total magnetic moment   0.0 μB/f.u.

a b c (Å): 3.5680 3.5680 7.4571
angles (deg): 90.03 103.81 120.00
With the nearest neighbours (Å) after each atom.
Positions (direct):
Se (0.0079, 0.8683, 0.8762)  3 Zr 2.72, 3 H 2.74
H (0.5084, 0.6188, 0.1272)  3 Zr 2.06
Cl (0.3368, 0.0332, 0.3700)  3 H 2.70, 3 Zr 2.72
Zr (0.8390, 0.2841, 0.1231)  3 H 2.06